# 1
Below is an optimized crystal structure of Ho3CuSi3, with properties calculated at the PBE level.

Summary:
Space group: C2/m, No. 12
Total energy: -5.62 eV per atom
M_tot: 0.00 μB per formula unit
DOS at the Fermi energy: 5.90 states/eV per cell
ΔE_f (raw): -0.745 eV per atom

CIF file:
```
data_Ho3CuSi3
_chemical_formula_sum 'Ho6 Cu2 Si6'
_cell_length_a 4.209
_cell_length_b 5.598
_cell_length_c 12.863
_cell_angle_alpha 84.75
_cell_angle_beta 80.58
_cell_angle_gamma 67.91
_space_group_name_H-M_alt 'P 1'
_space_group_IT_number 1
_space_group_name_Hall 'P 1'
loop_
_atom_site_label
_atom_site_type_symbol
_atom_site_fract_x
_atom_site_fract_y
_atom_site_fract_z
Ho1 Ho 0.255 0.267 0.224
Ho2 Ho 0.468 0.684 0.380
Si1 Si 0.887 0.150 0.076
Ho3 Ho 0.396 0.284 0.923
Si2 Si 0.113 0.850 0.924
Cu1 Cu 0.245 0.909 0.601
Si3 Si 0.131 0.283 0.456
Si4 Si 0.869 0.717 0.544
Cu2 Cu 0.755 0.091 0.399
Ho4 Ho 0.745 0.733 0.776
Ho5 Ho 0.532 0.316 0.620
Ho6 Ho 0.604 0.716 0.077
Si5 Si 0.039 0.153 0.769
Si6 Si 0.961 0.847 0.231
```

# 2
Below is an optimized crystal structure of Ba3SmTl2O6, with properties calculated at the PBE level.

Summary:
Space group: P-3m1, No. 164
Total energy: -5.83 eV per atom
M_tot: 0.00 μB per formula unit
DOS at the Fermi energy: 6.62 states/eV per cell
ΔE_f (raw): -2.078 eV per atom

CIF file:
```
data_Ba3SmTl2O6
_chemical_formula_sum 'Ba3 Sm1 Tl2 O6'
_cell_length_a 6.379
_cell_length_b 6.379
_cell_length_c 7.132
_cell_angle_alpha 90.00
_cell_angle_beta 90.00
_cell_angle_gamma 120.00
_space_group_name_H-M_alt 'P 1'
_space_group_IT_number 1
_space_group_name_Hall 'P 1'
loop_
_atom_site_label
_atom_site_type_symbol
_atom_site_fract_x
_atom_site_fract_y
_atom_site_fract_z
O1 O 0.335 0.168 0.691
O2 O 0.665 0.832 0.309
O3 O 0.168 0.335 0.309
O4 O 0.832 0.665 0.691
O5 O 0.832 0.168 0.691
O6 O 0.168 0.832 0.309
Sm1 Sm 0.000 0.000 0.500
Ba1 Ba 0.000 0.000 0.000
Ba2 Ba 0.333 0.667 0.607
Ba3 Ba 0.667 0.333 0.393
Tl1 Tl 0.333 0.667 0.122
Tl2 Tl 0.667 0.333 0.878
```

# 3
Below is an optimized crystal structure of Tm2CdGe2Rh5, with properties calculated at the PBE level.

Summary:
Space group: P4/mbm, No. 127
Total energy: -6.36 eV per atom
M_tot: 0.00 μB per formula unit
DOS at the Fermi energy: 2.82 states/eV per cell
Energy relative to the elements: -0.771 eV per atom

CIF file:
```
data_Tm2CdGe2Rh5
_chemical_formula_sum 'Tm4 Cd2 Ge4 Rh10'
_cell_length_a 3.607
_cell_length_b 9.751
_cell_length_c 9.751
_cell_angle_alpha 90.00
_cell_angle_beta 90.00
_cell_angle_gamma 90.00
_space_group_name_H-M_alt 'P 1'
_space_group_IT_number 1
_space_group_name_Hall 'P 1'
loop_
_atom_site_label
_atom_site_type_symbol
_atom_site_fract_x
_atom_site_fract_y
_atom_site_fract_z
Rh1 Rh 0.500 0.789 0.931
Rh2 Rh 0.500 0.500 0.000
Ge1 Ge 0.000 0.625 0.875
Ge2 Ge 0.000 0.875 0.375
Cd1 Cd 0.000 0.500 0.500
Rh3 Rh 0.500 0.569 0.711
Cd2 Cd 0.000 0.000 0.000
Rh4 Rh 0.500 0.000 0.500
Rh5 Rh 0.500 0.289 0.569
Rh6 Rh 0.500 0.211 0.069
Tm1 Tm 0.000 0.826 0.674
Tm2 Tm 0.000 0.174 0.326
Rh7 Rh 0.500 0.431 0.289
Rh8 Rh 0.500 0.931 0.211
Ge3 Ge 0.000 0.375 0.125
Rh9 Rh 0.500 0.069 0.789
Ge4 Ge 0.000 0.125 0.625
Tm3 Tm 0.000 0.674 0.174
Rh10 Rh 0.500 0.711 0.431
Tm4 Tm 0.000 0.326 0.826
```

# 4
Below is an optimized crystal structure of SiH2Se, with properties calculated at the PBE level.

Summary:
Space group: I-42d, No. 122
Total energy: -3.44 eV per atom
M_tot: 0.00 μB per formula unit
DOS at the Fermi energy: 4.31 states/eV per cell

CIF file:
```
data_SiH2Se
_chemical_formula_sum 'Si2 H4 Se2'
_cell_length_a 5.224
_cell_length_b 5.224
_cell_length_c 5.244
_cell_angle_alpha 60.12
_cell_angle_beta 60.12
_cell_angle_gamma 90.00
_space_group_name_H-M_alt 'P 1'
_space_group_IT_number 1
_space_group_name_Hall 'P 1'
loop_
_atom_site_label
_atom_site_type_symbol
_atom_site_fract_x
_atom_site_fract_y
_atom_site_fract_z
Si1 Si 0.250 0.750 0.500
H1 H 0.372 0.625 0.250
Si2 Si 0.500 0.500 0.000
Se1 Se 0.000 0.000 0.000
H2 H 0.375 0.622 0.750
Se2 Se 0.750 0.250 0.500
H3 H 0.378 0.125 0.250
H4 H 0.875 0.628 0.750
```